Cd6PdRh | Alexandria via LeMat-Bulk | PBE | optimized geometry; mass density = 7.7 g cm⁻³; Fermi-level density of states = 0.366 states/eV per atom; crystal system = triclinic; energy = -2.341 eV per atom; total magnetization = 0.000 μB per formula unit
1.0
-2.346 -3.853 0.634
2.315 -4.879 -4.434
4.210 -4.887 3.093
Cd Pd Rh
6 1 1
direct
0.250 0.753 0.749
0.413 0.924 0.242
0.750 0.247 0.251
0.587 0.076 0.758
0.088 0.582 0.250
0.912 0.418 0.750
0.500 0.500 0.500
0.000 0.000 0.000

Sr2GeBr6 | Alexandria via LeMat-Bulk | PBE | optimized geometry; mass density = 3.6 g cm⁻³; Fermi-level density of states = 0.000 states/eV per atom; crystal system = tetragonal; distance to the lowest polymorph of the same formula = 15 meV per atom; uncorrected formation energy = -1.569 eV/atom; total magnetization = 0.000 μB per formula unit
1.0
7.015 0.000 0.000
0.000 7.015 0.000
0.000 0.000 13.594
Br Sr Ge
12 4 2
direct
0.809 0.191 0.844
0.191 0.809 0.844
0.309 0.309 0.344
0.691 0.691 0.656
0.691 0.691 0.344
0.290 0.290 0.000
0.809 0.191 0.156
0.710 0.710 0.000
0.191 0.809 0.156
0.210 0.790 0.500
0.790 0.210 0.500
0.309 0.309 0.656
0.000 0.000 0.333
0.500 0.500 0.833
0.500 0.500 0.167
0.000 0.000 0.667
0.000 0.000 0.000
0.500 0.500 0.500

Ho2ScAu | Alexandria via LeMat-Bulk | PBE | optimized geometry; mass density = 9.6 g cm⁻³; Fermi-level density of states = 1.466 states/eV per atom; crystal system = tetragonal; distance to the lowest polymorph of the same formula = 82 meV per atom; total magnetization = 0.065 μB per formula unit
1.0
3.737 0.000 0.000
0.000 5.131 0.000
0.000 0.000 5.131
Ho Au Sc
2 1 1
direct
0.000 0.000 0.500
0.000 0.500 0.000
0.500 0.000 0.000
0.500 0.500 0.500

Gd2LuIn | Alexandria via LeMat-Bulk | PBE | optimized geometry; mass density = 8.9 g cm⁻³; Fermi-level density of states = 0.899 states/eV per atom; crystal system = tetragonal; distance to the lowest polymorph of the same formula = 0 meV per atom; total magnetization = 15.463 μB per formula unit
1.0
-3.622 -2.262 -2.346
3.222 -2.367 -2.692
0.110 -3.553 3.256
In Gd Lu
1 2 1
direct
0.500 0.000 0.000
0.000 0.500 0.000
0.000 0.000 0.500
0.500 0.500 0.500

ScTaSe2Br | Alexandria via LeMat-Bulk | PBE | optimized geometry; mass density = 5.8 g cm⁻³; Fermi-level density of states = 0.986 states/eV per atom; crystal system = tetragonal; distance to the lowest polymorph of the same formula = 342 meV per atom; uncorrected formation energy = 0.177 eV/atom; total magnetization = 2.985 μB per formula unit
1.0
-1.762 4.162 -2.501
-3.759 -2.854 -2.100
-2.959 1.062 3.852
Ta Se Sc Br
1 2 1 1
direct
0.500 0.500 0.500
0.000 0.500 0.000
0.500 0.000 0.000
0.000 0.000 0.000
0.000 0.000 0.500

MnHgPd5 | Alexandria via LeMat-Bulk | PBE | optimized geometry; mass density = 11.2 g cm⁻³; Fermi-level density of states = 0.629 states/eV per atom; crystal system = monoclinic; distance to the lowest polymorph of the same formula = 0 meV per atom; total magnetization = 4.743 μB per formula unit
1.0
-4.388 -0.257 2.728
0.467 -5.105 -0.696
6.601 2.106 6.378
Pd Mn Hg
10 2 2
direct
0.761 0.461 0.040
0.393 0.017 0.843
0.607 0.983 0.157
0.017 0.393 0.343
0.461 0.761 0.540
0.539 0.239 0.460
0.983 0.607 0.657
0.165 0.835 0.250
0.239 0.539 0.960
0.835 0.165 0.750
0.502 0.498 0.250
0.498 0.502 0.750
0.000 0.000 0.000
0.000 0.000 0.500

La3Al2ZnHg6 | Alexandria via LeMat-Bulk | PBE | optimized geometry; mass density = 9.0 g cm⁻³; Fermi-level density of states = 0.915 states/eV per atom; crystal system = trigonal; energy = -2.281 eV per atom; total magnetization = 0.000 μB per formula unit
1.0
6.556 0.000 0.000
-3.278 5.678 0.000
0.000 0.000 8.623
La Al Hg Zn
3 2 6 1
direct
0.667 0.333 0.353
0.000 0.000 0.000
0.333 0.667 0.647
0.667 0.333 0.969
0.333 0.667 0.031
0.647 0.823 0.289
0.823 0.177 0.711
0.177 0.823 0.289
0.823 0.647 0.711
0.177 0.353 0.289
0.353 0.177 0.711
0.000 0.000 0.500

YHfTe2I | Alexandria via LeMat-Bulk | PBE | optimized geometry; mass density = 6.3 g cm⁻³; Fermi-level density of states = 0.976 states/eV per atom; crystal system = tetragonal; distance to the lowest polymorph of the same formula = 0 meV per atom; uncorrected formation energy = -0.243 eV/atom; total magnetization = 0.420 μB per formula unit
1.0
-1.044 1.239 -5.337
-5.234 -1.832 0.598
-1.595 5.041 1.483
Hf I Y Te
1 1 1 2
direct
0.000 0.000 0.000
0.000 0.000 0.500
0.500 0.500 0.500
0.000 0.500 0.000
0.500 0.000 0.000

DyPuPt10 | Alexandria via LeMat-Bulk | PBE | optimized geometry; mass density = 17.6 g cm⁻³; Fermi-level density of states = 1.649 states/eV per atom; crystal system = orthorhombic; energy = -7.219 eV per atom; total magnetization = 4.851 μB per formula unit
1.0
-0.884 1.351 4.146
2.003 -4.598 1.926
8.410 3.885 0.528
Pt Dy Pu
10 1 1
direct
0.500 0.250 0.251
0.500 0.000 0.500
0.500 0.750 0.251
0.500 0.250 0.749
0.000 0.500 0.832
0.000 0.500 0.168
0.000 0.000 0.666
0.000 0.000 0.334
0.500 0.750 0.749
0.500 0.500 0.000
0.000 0.500 0.500
0.000 0.000 0.000

Li4AgAu15 | Alexandria via LeMat-Bulk | PBE | optimized geometry; mass density = 15.0 g cm⁻³; Fermi-level density of states = 0.121 states/eV per atom; crystal system = tetragonal; energy = -3.275 eV per atom; total magnetization = 0.000 μB per formula unit
1.0
-2.342 -2.127 -2.695
0.788 -3.508 2.084
-15.901 3.157 11.323
Li Au Ag
4 15 1
direct
0.000 0.000 0.401
0.000 0.000 0.797
0.000 0.000 0.203
0.000 0.000 0.599
0.000 0.500 0.698
0.000 0.500 0.500
0.000 0.500 0.895
0.500 0.000 0.302
0.500 0.500 0.599
0.500 0.500 0.797
0.500 0.500 0.000
0.500 0.000 0.500
0.000 0.500 0.105
0.500 0.500 0.203
0.500 0.000 0.698
0.500 0.000 0.895
0.500 0.000 0.105
0.000 0.500 0.302
0.500 0.500 0.401
0.000 0.000 0.000

Sr2Ca2Hg | Alexandria via LeMat-Bulk | PBE | optimized geometry; mass density = 3.7 g cm⁻³; Fermi-level density of states = 1.299 states/eV per atom; crystal system = tetragonal; distance to the lowest polymorph of the same formula = 0 meV per atom; total magnetization = 0.000 μB per formula unit
1.0
-1.611 1.416 3.409
-3.604 -1.404 -1.120
5.076 -10.868 4.533
Ca Sr Hg
2 2 1
direct
0.803 0.803 0.607
0.197 0.197 0.393
0.423 0.423 0.846
0.577 0.577 0.154
0.000 0.000 0.000

BaCdH | Alexandria via LeMat-Bulk | PBE | optimized geometry; mass density = 4.9 g cm⁻³; Fermi-level density of states = 0.421 states/eV per atom; crystal system = orthorhombic; energy = -2.414 eV per atom; total magnetization = 0.000 μB per formula unit
1.0
4.637 0.000 0.000
0.000 8.399 -0.386
0.000 -2.051 8.855
Cd H Ba
4 4 4
direct
0.250 0.603 0.526
0.750 0.397 0.974
0.750 0.397 0.474
0.250 0.603 0.026
0.750 0.004 0.626
0.250 0.996 0.874
0.750 0.004 0.126
0.250 0.996 0.374
0.750 0.832 0.833
0.250 0.168 0.167
0.750 0.832 0.333
0.250 0.168 0.667

Sc2USe4 | Alexandria via LeMat-Bulk | PBE | optimized geometry; mass density = 6.5 g cm⁻³; Fermi-level density of states = 1.099 states/eV per atom; crystal system = orthorhombic; uncorrected formation energy = -1.468 eV/atom; total magnetization = 3.191 μB per formula unit
1.0
3.874 0.000 0.000
-1.937 6.408 0.000
0.000 0.000 13.245
Sc U Se
4 2 8
direct
0.132 0.264 0.063
0.132 0.264 0.437
0.868 0.736 0.563
0.868 0.736 0.937
0.382 0.764 0.250
0.618 0.236 0.750
0.771 0.542 0.119
0.229 0.458 0.881
0.500 0.000 0.000
0.771 0.542 0.381
0.500 0.000 0.500
0.051 0.102 0.250
0.229 0.458 0.619
0.949 0.898 0.750

KLiRu | Alexandria via LeMat-Bulk | PBE | optimized geometry; mass density = 3.9 g cm⁻³; Fermi-level density of states = 0.868 states/eV per atom; crystal system = orthorhombic; distance to the lowest polymorph of the same formula = 22 meV per atom; total magnetization = 0.000 μB per formula unit
1.0
8.341 -0.005 0.004
7.820 2.731 0.024
0.522 -0.276 2.721
Ru K Li
1 1 1
direct
0.682 0.682 0.318
0.019 0.019 0.981
0.299 0.299 0.701

Ac2Ni4Sb3Rh | Alexandria via LeMat-Bulk | PBE | optimized geometry; mass density = 9.4 g cm⁻³; Fermi-level density of states = 1.047 states/eV per atom; crystal system = tetragonal; uncorrected formation energy = -0.569 eV/atom; total magnetization = 0.000 μB per formula unit
1.0
-0.288 -3.849 2.173
4.419 -0.288 0.075
0.180 5.120 9.092
Ac Ni Rh Sb
2 4 1 3
direct
0.000 0.500 0.747
0.500 0.000 0.253
0.500 0.000 0.628
0.500 0.500 0.000
0.000 0.500 0.372
0.000 0.000 0.000
0.500 0.500 0.500
0.500 0.000 0.876
0.000 0.500 0.124
0.000 0.000 0.500

Ta2ZnSiSn | Alexandria via LeMat-Bulk | PBE | optimized geometry; mass density = 9.5 g cm⁻³; Fermi-level density of states = 0.713 states/eV per atom; crystal system = tetragonal; uncorrected formation energy = 0.661 eV/atom; total magnetization = 0.000 μB per formula unit
1.0
4.795 0.000 0.000
0.000 4.375 0.000
0.000 0.000 4.795
Si Ta Zn Sn
1 2 1 1
direct
0.000 0.000 0.000
0.000 0.000 0.500
0.500 0.000 0.000
0.000 0.500 0.000
0.500 0.500 0.500

KAlZn4 | Alexandria via LeMat-Bulk | PBE | optimized geometry; mass density = 4.6 g cm⁻³; Fermi-level density of states = 0.907 states/eV per atom; crystal system = cubic; energy = -1.463 eV per atom; total magnetization = 0.000 μB per formula unit
1.0
-0.420 1.836 5.196
-4.957 0.333 2.421
-1.329 -3.497 4.067
Al Zn K
1 4 1
direct
0.750 0.750 0.750
0.376 0.873 0.376
0.376 0.376 0.376
0.376 0.376 0.873
0.873 0.376 0.376
0.000 0.000 0.000

CsCaMnCl6 | Alexandria via LeMat-Bulk | PBE | optimized geometry; mass density = 2.4 g cm⁻³; crystal system = triclinic; uncorrected formation energy = -1.686 eV/atom; total magnetization = 4.000 μB per formula unit
1.0
6.692 -0.221 -0.069
3.163 5.889 0.078
-0.073 0.145 7.724
Cl Cs Ca Mn
6 1 1 1
direct
0.607 0.350 0.676
0.035 0.352 0.330
0.029 0.605 0.711
0.349 0.609 0.324
0.352 0.034 0.669
0.607 0.030 0.290
0.006 0.006 0.999
0.681 0.680 0.500
0.333 0.333 0.500

BaPr3Nd2Te6 | Alexandria via LeMat-Bulk | PBE | optimized geometry; mass density = 6.5 g cm⁻³; Fermi-level density of states = 0.500 states/eV per atom; crystal system = monoclinic; uncorrected formation energy = -1.465 eV/atom; total magnetization = 0.000 μB per formula unit
1.0
-0.056 -4.561 -0.254
3.735 -0.516 8.442
-9.810 2.303 1.901
Te Ba Pr Nd
6 1 3 2
direct
0.666 0.580 0.331
0.326 0.914 0.653
0.334 0.420 0.669
0.674 0.086 0.347
0.004 0.265 0.009
0.996 0.735 0.991
0.500 0.000 0.000
0.162 0.820 0.325
0.500 0.500 0.000
0.838 0.180 0.675
0.171 0.343 0.341
0.829 0.657 0.659

Pm9Ho4Hg11 | Alexandria via LeMat-Bulk | PBE | optimized geometry; mass density = 10.5 g cm⁻³; Fermi-level density of states = 0.961 states/eV per atom; crystal system = orthorhombic; energy = -3.064 eV per atom; total magnetization = 3.179 μB per formula unit
1.0
-2.213 1.945 2.017
-10.517 -2.681 -8.958
0.741 -9.700 10.168
Hg Ho Pm
11 4 9
direct
0.000 0.637 0.363
0.000 0.363 0.637
0.000 0.000 0.000
0.000 0.165 0.835
0.000 0.835 0.165
0.000 0.939 0.584
0.000 0.731 0.731
0.000 0.269 0.269
0.000 0.061 0.416
0.000 0.416 0.061
0.000 0.584 0.939
0.500 0.253 0.444
0.500 0.556 0.747
0.500 0.747 0.556
0.500 0.444 0.253
0.500 0.957 0.793
0.500 0.143 0.631
0.500 0.207 0.043
0.500 0.043 0.207
0.500 0.793 0.957
0.500 0.857 0.369
0.500 0.369 0.857
0.500 0.631 0.143
0.500 0.500 0.500

BeCo2Pb | Alexandria via LeMat-Bulk | PBE | optimized geometry; mass density = 9.8 g cm⁻³; Fermi-level density of states = 1.216 states/eV per atom; crystal system = tetragonal; distance to the lowest polymorph of the same formula = 64 meV per atom; total magnetization = 2.641 μB per formula unit
1.0
3.053 0.000 0.000
0.000 3.053 0.000
0.000 0.000 6.071
Be Co Pb
1 2 1
direct
0.500 0.500 0.844
0.000 0.000 0.962
0.500 0.500 0.200
0.000 0.000 0.494

LiCo2Hg | Alexandria via LeMat-Bulk | PBE | optimized geometry; mass density = 9.5 g cm⁻³; Fermi-level density of states = 1.229 states/eV per atom; crystal system = orthorhombic; energy = -3.747 eV per atom; total magnetization = 2.957 μB per formula unit
1.0
4.841 0.009 0.000
-2.232 4.295 0.000
0.000 0.000 2.724
Co Li Hg
2 1 1
direct
0.500 0.500 0.000
0.000 0.000 0.000
0.000 0.500 0.500
0.500 0.000 0.500

TlReBr2 | Alexandria via LeMat-Bulk | PBE | optimized geometry; mass density = 8.9 g cm⁻³; Fermi-level density of states = 0.428 states/eV per atom; crystal system = orthorhombic; distance to the lowest polymorph of the same formula = 314 meV per atom; uncorrected formation energy = 0.632 eV/atom; total magnetization = 1.110 μB per formula unit
1.0
3.539 0.020 0.000
-1.883 2.996 0.000
0.000 0.000 9.653
Re Tl Br
1 1 2
direct
0.000 0.000 0.498
0.500 0.500 0.729
0.000 0.000 0.960
0.500 0.500 0.313